Entry 1:
A relaxed structure of CaLaHg2, computed with PBEsol.

Output
As for the mass density: 8.90 g cm⁻³. The energy above the most stable polymorph in this dataset comes out at 0.0211 eV per atom. As for the crystal system: tetragonal. The calculation puts the size of the total moment at 0.0 μB/cell. The value obtained for the total energy is -2.76 eV/atom. Its formation energy from the elements is -0.603 eV/atom.

Cell and atoms, written as POSCAR:
```
CaLaHg2
1.0
-2.7859 0.2376 -2.4644
-3.1951 -2.7654 3.3453
-1.6154 4.6133 2.2707
Ca Hg La
1 2 1
Direct
0.5000 0.5000 0.1251
0.0000 0.0000 0.1248
0.0000 0.5000 0.6254
0.5000 0.0000 0.6247
```

Entry 2:
A relaxed structure of CaLa2Tl, computed with PBEsol.

Output
As for the mass density: 7.07 g cm⁻³. As for the crystal system: orthorhombic. The calculation puts the size of the total moment at 0.0 μB/cell. The value obtained for the total energy is -4.00 eV/atom. Its formation energy from the elements is -0.139 eV/atom.

Cell and atoms, written as POSCAR:
```
CaLa2Tl
1.0
-0.6185 -3.7090 0.2197
5.0893 -0.7335 1.9428
-2.0151 0.6635 5.5293
Tl Ca La
1 1 2
Direct
0.5000 0.0000 0.5000
0.0000 0.5000 0.5000
0.0000 0.0000 0.0000
0.5000 0.5000 0.0000
```

Entry 3:
A relaxed structure of ZrAlTc, computed with PBEsol.

Output
As for the mass density: 6.21 g cm⁻³. The energy above the most stable polymorph in this dataset comes out at 0.4762 eV per atom. As for the crystal system: cubic. The calculation puts the size of the total moment at 0.0 μB/cell. The value obtained for the total energy is -8.06 eV/atom. Its formation energy from the elements is 0.086 eV/atom.

Cell and atoms, written as POSCAR:
```
ZrAlTc
1.0
4.3407 0.0000 0.0000
2.1703 3.7591 0.0000
2.1703 1.2530 3.5442
Tc Zr Al
1 1 1
Direct
0.7500 0.7500 0.7500
0.0000 0.0000 0.0000
0.5000 0.5000 0.5000
```